This record from Alexandria via LeMat-Bulk describes a geometry-optimized AsPb2SI structure. The functional is PBE-GGA.

extended XYZ file:
```
5
Lattice="-5.388 -2.608 1.029 0.827 -3.172 -3.711 2.614 -3.866 3.888" Properties=species:S:1:pos:R:3 pbc="T T T"
Pb 1.307 -1.933 1.944
Pb -2.694 -1.304 0.514
I 0.000 0.000 0.000
As -0.973 -4.823 0.603
S 0.414 -1.586 -1.855
```

Its space group is P4/mmm. The uncorrected formation energy is 0.81 eV/atom.


This record from Alexandria via LeMat-Bulk describes a geometry-optimized Zn2AgMo structure. The functional is PBE-GGA.

extended XYZ file:
```
4
Lattice="2.763 0.000 0.000 0.000 3.668 0.000 0.000 0.000 6.126" Properties=species:S:1:pos:R:3 pbc="T T T"
Ag 1.381 1.834 1.532
Mo 1.381 1.834 4.595
Zn 0.000 0.000 6.083
Zn 0.000 0.000 3.106
```

Its space group is Pmmm. The excess energy over the best structure of this formula in the dataset is 0.52 eV per formula unit. The calculated formation energy is 0.1794 eV per atom.


This record from Alexandria via LeMat-Bulk describes a geometry-optimized MnSn2Te4 structure. The functional is PBE-GGA.

extended XYZ file:
```
7
Lattice="4.146 -0.001 -0.001 2.059 6.817 3.417 -0.002 -0.141 7.580" Properties=species:S:1:pos:R:3 pbc="T T T"
Mn 0.000 0.000 0.000
Sn 4.134 3.565 7.184
Sn 2.068 3.111 3.812
Te 4.139 1.364 5.059
Te 2.064 5.312 5.937
Te 4.131 5.166 9.986
Te 2.072 1.509 1.010
```

Its space group is P-1. The uncorrected formation energy is -0.18 eV/atom.


This record from Alexandria via LeMat-Bulk describes a geometry-optimized Y6Ho2ErSc3 structure. The functional is PBE-GGA.

extended XYZ file:
```
12
Lattice="6.050 0.001 0.008 -3.022 5.241 0.008 -1.022 -1.769 11.307" Properties=species:S:1:pos:R:3 pbc="T T T"
Y 3.016 1.732 8.398
Y 2.015 3.489 2.932
Y -1.011 1.741 2.925
Y -0.007 3.478 8.398
Y -0.009 -0.016 8.391
Y 2.013 -0.006 2.925
Ho 0.002 3.494 0.008
Ho 3.026 1.748 0.008
Er 0.000 0.000 0.000
Sc -2.023 3.484 5.661
Sc 4.028 -0.011 5.661
Sc 1.003 1.736 5.661
```

Its space group is C2/m. The calculated formation energy is 0.0528 eV per atom.